No. 1
Below is a relaxed structure of RbPuTl4, with properties calculated at the PBE-GGA level.

The energy relative to the elements comes out at 0.715 eV/f.u. For the total energy, the calculation gives -96.20 eV/cell.

The space group is F-43m (No. 216) and the conventional cell measures 9.1982, 9.1982 and 9.1982 Å, with angles of 90.00, 90.00 and 90.00 degrees. Symmetry generates all atoms from Rb at (0.0000, 0.0000, 0.0000), Pu at (0.2500, 0.2500, 0.7500) and Tl at (0.1244, 0.1244, 0.3756).


No. 2
Below is a relaxed structure of Ti2NbGaH, with properties calculated at the PBE-GGA level.

For the total energy, the calculation gives -34.07 eV/cell.

The space group is P4/mmm (No. 123) and the conventional cell measures 4.2106, 4.2106 and 3.8550 Å, with angles of 90.00, 90.00 and 90.00 degrees. Symmetry generates all atoms from Ti at (0.0000, 0.5000, 0.0000), Nb at (0.0000, 0.0000, 0.5000), Ga at (0.5000, 0.5000, 0.5000) and H at (0.0000, 0.0000, 0.0000).


No. 3
Below is a relaxed structure of Rb2AgH, with properties calculated at the PBE-GGA level.

For the total energy, the calculation gives -30.76 eV/cell.

The space group is Fm-3m (No. 225) and the conventional cell measures 8.2144, 8.2144 and 8.2144 Å, with angles of 90.00, 90.00 and 90.00 degrees. Symmetry generates all atoms from Rb at (0.2500, 0.2500, 0.2500), Ag at (0.0000, 0.0000, 0.0000) and H at (0.0000, 0.0000, 0.5000).


> Which formula does entry 1 have?

RbPuTl4